Entry 1:
This record from Alexandria via LeMat-Bulk describes Nd3Si2SnPt9 after structural relaxation. The functional is PBE-GGA.

Results
- Space-group type: P-3m1, No. 164
- Uncorrected formation energy: -1050.1 kJ/mol of formula units
- ρ: 11.79 Mg/m³
- Electronic total energy: -0.463 Ry per atom

Unit cell a=6.4149 b=6.4149 c=9.3373 alpha=90.00 beta=90.00 gamma=120.00
Element x y z (fractional)
Nd  0.0000  0.0000  0.0000
Nd  0.3333  0.6667  0.7260
Nd  0.6667  0.3333  0.2740
Si  0.3333  0.6667  0.1745
Si  0.6667  0.3333  0.8255
Sn  0.0000  0.0000  0.5000
Pt  0.0000  0.5000  0.0000
Pt  0.1448  0.2896  0.2706
Pt  0.1448  0.8552  0.2706
Pt  0.2896  0.1448  0.7294
Pt  0.5000  0.0000  0.0000
Pt  0.5000  0.5000  0.0000
Pt  0.7104  0.8552  0.2706
Pt  0.8552  0.1448  0.7294
Pt  0.8552  0.7104  0.7294



Entry 2:
This record from Alexandria via LeMat-Bulk describes SrBRh2Cl after structural relaxation. The functional is PBE-GGA.

Results
- Space-group type: P4/mmm, No. 123
- Uncorrected formation energy: -203.3 kJ/mol of formula units
- ρ: 5.64 Mg/m³
- Electronic total energy: -0.397 Ry per atom

Unit cell a=4.0632 b=4.0632 c=6.0594 alpha=90.00 beta=90.00 gamma=90.00
Element x y z (fractional)
Sr  0.0000  0.0000  0.0000
B  0.0000  0.0000  0.5000
Rh  0.0000  0.5000  0.5000
Rh  0.5000  0.0000  0.5000
Cl  0.5000  0.5000  0.0000



Entry 3:
This record from Alexandria via LeMat-Bulk describes AcSnBiPb after structural relaxation. The functional is PBE-GGA.

Results
- Space-group type: Pmmm, No. 47
- ρ: 9.91 Mg/m³
- Distance to the lowest polymorph of the same formula: 0 meV/atom
- ΔH_f (0 K): -0.474 eV per atom
- Electronic total energy: -0.323 Ry per atom

Unit cell a=4.8724 b=5.1040 c=5.1354 alpha=90.00 beta=90.00 gamma=90.00
Element x y z (fractional)
Ac  0.0000  0.0000  0.0000
Sn  0.5000  0.0000  0.5000
Bi  0.5000  0.5000  0.0000
Pb  0.0000  0.5000  0.5000



Entry 4:
This record from Alexandria via LeMat-Bulk describes MnV2Ga2Ni7 after structural relaxation. The functional is PBE-GGA.

Results
- Space-group type: C2/m, No. 12
- ρ: 7.63 Mg/m³
- ΔH_f (0 K): 0.065 eV per atom
- Electronic total energy: -0.448 Ry per atom

Unit cell a=3.3303 b=3.3303 c=14.0598 alpha=96.69 beta=96.69 gamma=90.00
Element x y z (fractional)
Mn  0.0000  0.0000  0.0000
V  0.3685  0.3685  0.7336
V  0.6315  0.6315  0.2664
Ga  0.1847  0.1847  0.3724
Ga  0.8153  0.8153  0.6276
Ni  0.0681  0.5681  0.1394
Ni  0.2765  0.2765  0.5506
Ni  0.4319  0.9319  0.8606
Ni  0.5000  0.5000  0.0000
Ni  0.5681  0.0681  0.1394
Ni  0.7235  0.7235  0.4494
Ni  0.9319  0.4319  0.8606



Entry 5:
This record from Alexandria via LeMat-Bulk describes NbBi2Br2 after structural relaxation. The functional is PBE-GGA.

Results
- Space-group type: I4/mmm, No. 139
- Uncorrected formation energy: 291.4 kJ/mol of formula units
- ρ: 5.81 Mg/m³
- Distance to the lowest polymorph of the same formula: 0 meV/atom
- Electronic total energy: -0.267 Ry per atom

Unit cell a=4.1269 b=4.1269 c=22.5291 alpha=90.00 beta=90.00 gamma=90.00
Element x y z (fractional)
Nb  0.0000  0.0000  0.0000
Nb  0.5000  0.5000  0.5000
Bi  0.0000  0.5000  0.2500
Bi  0.0000  0.5000  0.7500
Bi  0.5000  0.0000  0.2500
Bi  0.5000  0.0000  0.7500
Br  0.0000  0.0000  0.4291
Br  0.0000  0.0000  0.5709
Br  0.5000  0.5000  0.0709
Br  0.5000  0.5000  0.9291



Entry 6:
This record from Alexandria via LeMat-Bulk describes Ta2Al4Cu after structural relaxation. The functional is PBE-GGA.

Results
- Space-group type: I4/mmm, No. 139
- ρ: 6.41 Mg/m³
- ΔH_f (0 K): 0.583 eV per atom
- Electronic total energy: -0.406 Ry per atom

Unit cell a=4.6214 b=4.6214 c=12.9484 alpha=90.00 beta=90.00 gamma=90.00
Element x y z (fractional)
Ta  0.0000  0.0000  0.1055
Ta  0.0000  0.0000  0.8945
Ta  0.5000  0.5000  0.3945
Ta  0.5000  0.5000  0.6055
Al  0.0000  0.0000  0.3161
Al  0.0000  0.0000  0.6839
Al  0.0000  0.5000  0.0000
Al  0.0000  0.5000  0.5000
Al  0.5000  0.0000  0.0000
Al  0.5000  0.0000  0.5000
Al  0.5000  0.5000  0.1839
Al  0.5000  0.5000  0.8161
Cu  0.0000  0.0000  0.5000
Cu  0.5000  0.5000  0.0000



Entry 7:
This record from Alexandria via LeMat-Bulk describes K2NaCdH4 after structural relaxation. The functional is PBE-GGA.

Results
- Space-group type: Fddd, No. 70
- ρ: 1.81 Mg/m³
- Electronic total energy: -0.160 Ry per atom

Unit cell a=12.8033 b=11.6848 c=6.6801 alpha=83.66 beta=65.10 gamma=31.24
Element x y z (fractional)
K  0.0585  0.0585  0.6915
K  0.3085  0.3085  0.9415
K  0.6915  0.6915  0.0585
K  0.9415  0.9415  0.3085
Na  0.1250  0.1250  0.1250
Na  0.8750  0.8750  0.8750
Cd  0.3750  0.3750  0.3750
Cd  0.6250  0.6250  0.6250
H  0.0389  0.6323  0.5184
H  0.3104  0.5184  0.6323
H  0.3677  0.9611  0.6896
H  0.4816  0.6896  0.9611
H  0.5184  0.3104  0.0389
H  0.6323  0.0389  0.3104
H  0.6896  0.4816  0.3677
H  0.9611  0.3677  0.4816



Entry 8:
This record from Alexandria via LeMat-Bulk describes Cu5Hg4 after structural relaxation. The functional is PBE-GGA.

Results
- Space-group type: I4/mmm, No. 139
- ρ: 12.36 Mg/m³
- Distance to the lowest polymorph of the same formula: 0 meV/atom
- ΔH_f (0 K): 0.187 eV per atom
- Electronic total energy: -0.163 Ry per atom

Unit cell a=6.4046 b=6.4046 c=6.4046 alpha=95.84 beta=95.84 gamma=142.81
Element x y z (fractional)
Cu  0.0000  0.0000  0.0000
Cu  0.3484  0.3484  0.6967
Cu  0.3484  0.6516  0.0000
Cu  0.6516  0.3484  0.0000
Cu  0.6516  0.6516  0.3033
Hg  0.0000  0.3104  0.3104
Hg  0.0000  0.6896  0.6896
Hg  0.3104  0.0000  0.3104
Hg  0.6896  0.0000  0.6896